Record 1
Li2MnPb: optimized geometry, PBE.

a b c (Å): 7.3322 7.3322 5.8114
angles (deg): 50.89 50.89 90.00
Closest atoms and distances in Å follow each position.
Fractional positions:
Pb 0.0000 0.0000 0.0000  2 Mn 2.63, 4 Li 2.79
Pb 0.7500 0.2500 0.5000  2 Mn 2.63, 4 Li 2.79
Mn 0.5000 0.5000 0.0000  4 Li 2.57, 2 Pb 2.63
Mn 0.2500 0.7500 0.5000  4 Li 2.57, 2 Pb 2.63
Li 0.6030 0.1250 0.2500  2 Mn 2.57, 2 Li 2.64, 2 Pb 2.79
Li 0.1470 0.6250 0.2500  2 Mn 2.57, 2 Li 2.64, 2 Pb 2.79
Li 0.3750 0.3970 0.7500  2 Mn 2.57, 2 Li 2.64, 2 Pb 2.79
Li 0.8750 0.8530 0.7500  2 Mn 2.57, 2 Li 2.64, 2 Pb 2.79

Calculated values
Crystal system = tetragonal
Magnetic moment = 0.02 Bohr magnetons per cell
Density of states at the Fermi level = 13.803 states/eV per cell
ΔE_f = 0.600 eV/atom



Record 2
LiMn3Pb: optimized geometry, PBE.

a b c (Å): 4.4390 4.4390 4.4390
angles (deg): 90.00 90.00 90.00
Closest atoms and distances in Å follow each position.
Fractional positions:
Pb 0.5000 0.5000 0.5000  12 Mn 3.14
Mn 0.0000 0.5000 0.0000  2 Li 2.22
Mn 0.0000 0.0000 0.5000  2 Li 2.22
Mn 0.5000 0.0000 0.0000  2 Li 2.22
Li 0.0000 0.0000 0.0000  6 Mn 2.22

Calculated values
Crystal system = cubic
Magnetic moment = 10.56 Bohr magnetons per cell
Density of states at the Fermi level = 3.672 states/eV per cell
ΔE to the lowest computed polymorph = 0 meV per atom
ΔE_f = 0.847 eV/atom



Record 3
LiMnPb2S: optimized geometry, PBE.

a b c (Å): 5.4648 4.2708 5.4648
angles (deg): 90.00 90.00 90.00
Closest atoms and distances in Å follow each position.
Fractional positions:
Pb 0.0000 0.0000 0.5000  2 Mn 2.73
Pb 0.5000 0.0000 0.0000  2 Mn 2.73
S 0.0000 0.5000 0.0000  2 Mn 2.14
Mn 0.0000 0.0000 0.0000  2 S 2.14
Li 0.5000 0.5000 0.5000  8 Pb 3.47, 4 S 3.86

Calculated values
Crystal system = tetragonal
Magnetic moment = 2.41 Bohr magnetons per cell
Density of states at the Fermi level = 3.692 states/eV per cell
Total energy = -4.45 eV/atom



Record 4
LiMnPbS3: optimized geometry, PBE.

a b c (Å): 3.8510 7.6667 8.4360
angles (deg): 107.86 90.00 90.00
Closest atoms and distances in Å follow each position.
Fractional positions:
Li 0.2500 0.0904 0.5929  4 S 2.32-2.46, 2 Li 2.60
Li 0.7500 0.9096 0.4071  4 S 2.32-2.46, 2 Li 2.60
Mn 0.2500 0.6786 0.1567  6 S 2.37-2.56
Mn 0.7500 0.3214 0.8433  6 S 2.37-2.56
Pb 0.2500 0.2130 0.2407  7 S 2.95-3.19
Pb 0.7500 0.7870 0.7593  7 S 2.95-3.19
S 0.7500 0.8864 0.1258  1 Li 2.32, 2 Mn 2.56
S 0.2500 0.1136 0.8742  1 Li 2.32, 2 Mn 2.56
S 0.2500 0.7585 0.4511  3 Li 2.33-2.46, 1 Mn 2.37
S 0.7500 0.2415 0.5489  3 Li 2.33-2.46, 1 Mn 2.37
S 0.7500 0.4532 0.1380  3 Mn 2.38-2.56
S 0.2500 0.5468 0.8620  3 Mn 2.38-2.56

Calculated values
Crystal system = monoclinic
Magnetic moment = 8.00 Bohr magnetons per cell
Density of states at the Fermi level = 2.772 states/eV per cell
Total energy = -5.19 eV/atom